A geometry-optimized Ho2CdRu structure. Source: Alexandria via LeMat-Bulk, functional PBE.

Geometry as POSCAR:
```
Ho2CdRu
1.0
-0.455 -0.271 3.619
-2.168 -2.602 1.380
5.836 -6.316 2.108
Ho Ru Cd
2 1 1
direct
0.265 0.265 0.206 Ho
0.735 0.735 0.794 Ho
0.000 0.000 0.000 Ru
0.500 0.500 0.500 Cd
```

Values from the calculation:
Space-group type: R-3m
Crystal system: trigonal
Energy relative to the elements: -176 meV per atom
Magnetization: 0.0 μB/f.u.